Record 1
! Ce3Ho2ErSe6 | Alexandria | PBE-GGA | relaxed; values from VASP
! Crystal system = monoclinic
! Density of states at the Fermi level = 18.87 states/eV/f.u.
! Size of the total moment = 3.00 μB/f.u.
! Space-group type = C2/m
! V = 298.19 Å³/cell
! Raw formation energy = -1.783 eV per atom
&SYSTEM
  ibrav = 0, nat = 12, ntyp = 4
/
ATOMIC_SPECIES
Ce 140.12 Ce.upf
Ho 164.93 Ho.upf
Er 167.26 Er.upf
Se 78.96 Se.upf
CELL_PARAMETERS angstrom
-3.456 3.219 -5.281
4.780 -5.029 -1.432
-5.367 -4.167 2.554
ATOMIC_POSITIONS crystal
Ce 0.167 0.833 0.500
Ce 0.833 0.167 0.500
Ce 0.500 0.500 0.500
Ho 0.333 0.667 0.000
Ho 0.667 0.333 0.000
Er 0.000 0.000 0.000
Se 0.922 0.589 0.765
Se 0.746 0.746 0.236
Se 0.078 0.411 0.235
Se 0.589 0.922 0.765
Se 0.254 0.254 0.764
Se 0.411 0.078 0.235



Record 2
! Ce2Ho3ErSe6 | Alexandria | PBE-GGA | relaxed; values from VASP
! Crystal system = monoclinic
! Density of states at the Fermi level = 14.22 states/eV/f.u.
! Size of the total moment = 2.18 μB/f.u.
! Space-group type = C2/m
! V = 292.84 Å³/cell
! Raw formation energy = -1.758 eV per atom
&SYSTEM
  ibrav = 0, nat = 12, ntyp = 4
/
ATOMIC_SPECIES
Ce 140.12 Ce.upf
Ho 164.93 Ho.upf
Er 167.26 Er.upf
Se 78.96 Se.upf
CELL_PARAMETERS angstrom
-2.371 2.533 2.132
-2.413 -6.292 4.793
8.413 1.979 3.116
ATOMIC_POSITIONS crystal
Ce 0.832 0.664 0.664
Ce 0.168 0.336 0.336
Ho 0.500 0.500 0.000
Ho 0.831 0.167 0.663
Ho 0.169 0.833 0.337
Er 0.500 0.000 0.000
Se 0.335 0.926 0.670
Se 0.663 0.591 0.326
Se 0.665 0.074 0.330
Se 0.997 0.247 0.993
Se 0.003 0.753 0.007
Se 0.337 0.409 0.674